No. 1
Pm2Ho3Cd4 after structural relaxation, computed with PBE-GGA. Values from VASP.

## Properties
* total magnetic moment: 0.00 μB per formula unit
* formation energy from the elements: -1.479 eV per formula unit

Geometry as Quantum ESPRESSO input:
```
&SYSTEM
  ibrav = 0, nat = 18, ntyp = 3
/
ATOMIC_SPECIES
Pm 145.00 Pm.upf
Ho 164.93 Ho.upf
Cd 112.41 Cd.upf
ATOMIC_POSITIONS crystal
Pm 0.093 0.907 0.900
Pm 0.407 0.593 0.400
Pm 0.593 0.407 0.600
Pm 0.907 0.093 0.100
Ho 0.000 0.000 0.500
Ho 0.004 0.496 0.750
Ho 0.496 0.004 0.250
Ho 0.500 0.500 0.000
Ho 0.504 0.996 0.750
Ho 0.996 0.504 0.250
Cd 0.162 0.838 0.515
Cd 0.175 0.325 0.750
Cd 0.325 0.175 0.250
Cd 0.338 0.662 0.015
Cd 0.662 0.338 0.985
Cd 0.675 0.825 0.750
Cd 0.825 0.675 0.250
Cd 0.838 0.162 0.485
CELL_PARAMETERS angstrom
3.398 -9.248 0.000
3.398 9.248 0.000
0.000 0.000 8.192
```

---

No. 2
PmHoCd after structural relaxation, computed with PBE-GGA. Values from VASP.

## Properties
* relative energy among the computed polymorphs: 0 meV per atom
* total magnetic moment: 0.58 μB per formula unit
* formation energy from the elements: -0.584 eV per formula unit

Geometry as Quantum ESPRESSO input:
```
&SYSTEM
  ibrav = 0, nat = 3, ntyp = 3
/
ATOMIC_SPECIES
Pm 145.00 Pm.upf
Ho 164.93 Ho.upf
Cd 112.41 Cd.upf
ATOMIC_POSITIONS crystal
Pm 0.000 0.000 0.000
Ho 0.313 0.313 0.000
Cd 0.664 0.664 0.000
CELL_PARAMETERS angstrom
-1.825 1.825 6.537
1.825 -1.825 6.537
1.825 1.825 -6.537
```

---

No. 3
Pm3HoCd2 after structural relaxation, computed with PBE-GGA. Values from VASP.

## Properties
* total magnetic moment: 0.27 μB per formula unit
* formation energy from the elements: -1.153 eV per formula unit

Geometry as Quantum ESPRESSO input:
```
&SYSTEM
  ibrav = 0, nat = 6, ntyp = 3
/
ATOMIC_SPECIES
Pm 145.00 Pm.upf
Ho 164.93 Ho.upf
Cd 112.41 Cd.upf
ATOMIC_POSITIONS crystal
Pm 0.000 0.000 0.000
Pm 0.000 0.000 0.310
Pm 0.000 0.000 0.690
Ho 0.500 0.500 0.500
Cd 0.500 0.500 0.156
Cd 0.500 0.500 0.844
CELL_PARAMETERS angstrom
3.745 0.000 0.000
0.000 3.745 0.000
0.000 0.000 12.741
```

---

No. 4
PmHo6Cd after structural relaxation, computed with PBE-GGA. Values from VASP.

## Properties
* total magnetic moment: 0.00 μB per formula unit
* formation energy from the elements: 0.431 eV per formula unit

Geometry as Quantum ESPRESSO input:
```
&SYSTEM
  ibrav = 0, nat = 8, ntyp = 3
/
ATOMIC_SPECIES
Pm 145.00 Pm.upf
Ho 164.93 Ho.upf
Cd 112.41 Cd.upf
ATOMIC_POSITIONS crystal
Pm 0.000 0.000 0.000
Ho 0.051 0.541 0.259
Ho 0.259 0.051 0.541
Ho 0.459 0.741 0.949
Ho 0.541 0.259 0.051
Ho 0.741 0.949 0.459
Ho 0.949 0.459 0.741
Cd 0.500 0.500 0.500
CELL_PARAMETERS angstrom
4.622 2.668 3.319
-4.622 2.668 3.319
0.000 -5.337 3.319
```

---

No. 5
Pm3HoCd4 after structural relaxation, computed with PBE-GGA. Values from VASP.

## Properties
* total magnetic moment: 1.53 μB per formula unit
* formation energy from the elements: -2.528 eV per formula unit

Geometry as Quantum ESPRESSO input:
```
&SYSTEM
  ibrav = 0, nat = 8, ntyp = 3
/
ATOMIC_SPECIES
Pm 145.00 Pm.upf
Ho 164.93 Ho.upf
Cd 112.41 Cd.upf
ATOMIC_POSITIONS crystal
Pm 0.000 0.000 0.000
Pm 0.000 0.000 0.254
Pm 0.000 0.000 0.746
Ho 0.000 0.000 0.500
Cd 0.500 0.500 0.126
Cd 0.500 0.500 0.383
Cd 0.500 0.500 0.617
Cd 0.500 0.500 0.874
CELL_PARAMETERS angstrom
3.790 0.000 0.000
0.000 3.790 0.000
0.000 0.000 15.359
```

---

No. 6
Pm3Ho2Cd6 after structural relaxation, computed with PBE-GGA. Values from VASP.

## Properties
* total magnetic moment: 0.00 μB per formula unit
* formation energy from the elements: 0.050 eV per formula unit

Geometry as Quantum ESPRESSO input:
```
&SYSTEM
  ibrav = 0, nat = 11, ntyp = 3
/
ATOMIC_SPECIES
Pm 145.00 Pm.upf
Ho 164.93 Ho.upf
Cd 112.41 Cd.upf
ATOMIC_POSITIONS crystal
Pm 0.000 0.000 0.000
Pm 0.185 0.185 0.000
Pm 0.815 0.815 0.000
Ho 0.366 0.366 0.000
Ho 0.634 0.634 0.000
Cd 0.069 0.569 0.500
Cd 0.275 0.275 0.000
Cd 0.431 0.931 0.500
Cd 0.569 0.069 0.500
Cd 0.725 0.725 0.000
Cd 0.931 0.431 0.500
CELL_PARAMETERS angstrom
-2.110 2.110 18.225
2.110 -2.110 18.225
2.110 2.110 -18.225
```

---

No. 7
PmHo2Cd after structural relaxation, computed with PBE-GGA. Values from VASP.

## Properties
* relative energy among the computed polymorphs: 60 meV per atom
* total magnetic moment: 0.09 μB per formula unit
* formation energy from the elements: -0.360 eV per formula unit

Geometry as Quantum ESPRESSO input:
```
&SYSTEM
  ibrav = 0, nat = 4, ntyp = 3
/
ATOMIC_SPECIES
Pm 145.00 Pm.upf
Ho 164.93 Ho.upf
Cd 112.41 Cd.upf
ATOMIC_POSITIONS crystal
Pm 0.000 0.000 0.000
Ho 0.000 0.500 0.500
Ho 0.500 0.000 0.500
Cd 0.500 0.500 0.000
CELL_PARAMETERS angstrom
4.869 0.000 0.000
0.000 4.869 0.000
0.000 0.000 4.862
```

---

No. 8
PmHo6Cd2 after structural relaxation, computed with PBE-GGA. Values from VASP.

## Properties
* total magnetic moment: 0.00 μB per formula unit
* formation energy from the elements: -1.134 eV per formula unit

Geometry as Quantum ESPRESSO input:
```
&SYSTEM
  ibrav = 0, nat = 9, ntyp = 3
/
ATOMIC_SPECIES
Pm 145.00 Pm.upf
Ho 164.93 Ho.upf
Cd 112.41 Cd.upf
ATOMIC_POSITIONS crystal
Pm 0.000 0.000 0.000
Ho 0.015 0.015 0.342
Ho 0.313 0.313 0.418
Ho 0.315 0.315 0.124
Ho 0.685 0.685 0.876
Ho 0.687 0.687 0.582
Ho 0.985 0.985 0.658
Cd 0.350 0.350 0.785
Cd 0.650 0.650 0.215
CELL_PARAMETERS angstrom
6.299 -1.864 0.000
6.299 1.864 0.000
-3.719 0.000 11.251
```

---

No. 9
PmHo8Cd6 after structural relaxation, computed with PBE-GGA. Values from VASP.

## Properties
* total magnetic moment: 0.93 μB per formula unit
* formation energy from the elements: -0.914 eV per formula unit

Geometry as Quantum ESPRESSO input:
```
&SYSTEM
  ibrav = 0, nat = 15, ntyp = 3
/
ATOMIC_SPECIES
Pm 145.00 Pm.upf
Ho 164.93 Ho.upf
Cd 112.41 Cd.upf
ATOMIC_POSITIONS crystal
Pm 0.000 0.000 0.000
Ho 0.118 0.784 0.447
Ho 0.216 0.553 0.882
Ho 0.333 0.333 0.333
Ho 0.447 0.118 0.784
Ho 0.553 0.882 0.216
Ho 0.667 0.667 0.667
Ho 0.784 0.447 0.118
Ho 0.882 0.216 0.553
Cd 0.053 0.391 0.714
Cd 0.286 0.947 0.609
Cd 0.391 0.714 0.053
Cd 0.609 0.286 0.947
Cd 0.714 0.053 0.391
Cd 0.947 0.609 0.286
CELL_PARAMETERS angstrom
4.488 2.591 6.347
-4.488 2.591 6.347
0.000 -5.182 6.347
```

---

No. 10
PmHo2Cd after structural relaxation, computed with PBE-GGA. Values from VASP.

## Properties
* relative energy among the computed polymorphs: 166 meV per atom
* total magnetic moment: 0.00 μB per formula unit
* formation energy from the elements: 0.063 eV per formula unit

Geometry as Quantum ESPRESSO input:
```
&SYSTEM
  ibrav = 0, nat = 4, ntyp = 3
/
ATOMIC_SPECIES
Pm 145.00 Pm.upf
Ho 164.93 Ho.upf
Cd 112.41 Cd.upf
ATOMIC_POSITIONS crystal
Pm 0.000 0.000 0.000
Ho 0.250 0.250 0.250
Ho 0.750 0.750 0.750
Cd 0.500 0.500 0.500
CELL_PARAMETERS angstrom
0.000 3.859 3.859
3.859 0.000 3.859
3.859 3.859 0.000
```

---

No. 11
PmHo2Cd after structural relaxation, computed with PBE-GGA. Values from VASP.

## Properties
* relative energy among the computed polymorphs: 71 meV per atom
* total magnetic moment: 0.00 μB per formula unit
* formation energy from the elements: -0.316 eV per formula unit

Geometry as Quantum ESPRESSO input:
```
&SYSTEM
  ibrav = 0, nat = 4, ntyp = 3
/
ATOMIC_SPECIES
Pm 145.00 Pm.upf
Ho 164.93 Ho.upf
Cd 112.41 Cd.upf
ATOMIC_POSITIONS crystal
Pm 0.000 0.000 0.000
Ho 0.243 0.243 0.243
Ho 0.757 0.757 0.757
Cd 0.500 0.500 0.500
CELL_PARAMETERS angstrom
1.793 1.035 10.798
-1.793 1.035 10.798
0.000 -2.070 10.798
```

---

No. 12
Pm12Ho7Cd after structural relaxation, computed with PBE-GGA. Values from VASP.

## Properties
* total magnetic moment: 0.00 μB per formula unit
* formation energy from the elements: 13.700 eV per formula unit

Geometry as Quantum ESPRESSO input:
```
&SYSTEM
  ibrav = 0, nat = 20, ntyp = 3
/
ATOMIC_SPECIES
Pm 145.00 Pm.upf
Ho 164.93 Ho.upf
Cd 112.41 Cd.upf
ATOMIC_POSITIONS crystal
Pm 0.001 0.770 0.231
Pm 0.230 0.231 0.462
Pm 0.230 0.769 0.999
Pm 0.231 0.001 0.770
Pm 0.231 0.462 0.230
Pm 0.462 0.230 0.231
Pm 0.538 0.770 0.769
Pm 0.769 0.538 0.770
Pm 0.769 0.999 0.230
Pm 0.770 0.231 0.001
Pm 0.770 0.769 0.538
Pm 0.999 0.230 0.769
Ho 0.000 0.000 0.500
Ho 0.000 0.500 0.000
Ho 0.000 0.500 0.500
Ho 0.500 0.000 0.000
Ho 0.500 0.000 0.500
Ho 0.500 0.500 0.000
Ho 0.500 0.500 0.500
Cd 0.000 0.000 0.000
CELL_PARAMETERS angstrom
-5.759 5.759 5.759
5.759 -5.759 5.759
5.759 5.759 -5.759
```